# 1
A crystal of K2BiF relaxed with PBEsol. Source: the Alexandria database, functional SCAN.

- ΔE_f (raw): -1316 meV/atom
- DOS at the Fermi energy: 1.12 states/eV/f.u.
- Density: 3.9 g/cm³

a = 7.6637 Å, b = 7.6637 Å, c = 8.9502 Å
α = 90.00°, β = 90.00°, γ = 90.00°
Last column: nearest neighbours and their distance in Å.
Space group I-42d (No. 122)
Symmetry-distinct sites (fractional):
K 0.1298 0.7500 0.1250  2 F 2.43
Bi 0.0000 0.0000 0.5000  8 K 3.60-3.99
F 0.0000 0.0000 0.0000  4 K 2.43



# 2
A crystal of KBi2F7 relaxed with PBEsol. Source: the Alexandria database, functional SCAN.

- ΔE_f (raw): -2539 meV/atom
- DOS at the Fermi energy: 0.00 states/eV/f.u.
- Density: 6.0 g/cm³

a = 7.1046 Å, b = 4.1460 Å, c = 11.1729 Å
α = 90.00°, β = 95.82°, γ = 90.00°
Last column: nearest neighbours and their distance in Å.
Space group Cm (No. 8)
Symmetry-distinct sites (fractional):
K 0.0000 0.0000 0.0000  7 F 2.65-2.92
Bi 0.1112 0.5000 0.6978  5 F 2.17-2.34
Bi 0.3822 0.0000 0.3087  8 F 2.21-2.44
F 0.0393 0.0000 0.2629  3 Bi 2.43-2.44, 3 F 2.54-2.55
F 0.1494 0.5000 0.8925  1 Bi 2.17
F 0.2189 0.5000 0.3442  3 Bi 2.38-2.43, 3 F 2.54-2.55
F 0.3147 0.0000 0.7527  1 Bi 2.25, 3 F 2.49-2.51
F 0.3533 0.0000 0.1102  1 Bi 2.21
F 0.4239 0.0000 0.5131  2 Bi 2.27-2.34
F 0.4701 0.5000 0.6837  3 Bi 2.30-2.57, 3 F 2.49-2.51



# 3
A crystal of K2LiBiF6 relaxed with PBEsol. Source: the Alexandria database, functional SCAN.

- ΔE_f (raw): -2759 meV/atom
- DOS at the Fermi energy: 0.00 states/eV/f.u.
- Density: 4.3 g/cm³

a = 8.5425 Å, b = 8.5425 Å, c = 8.5425 Å
α = 90.00°, β = 90.00°, γ = 90.00°
Last column: nearest neighbours and their distance in Å.
Space group Fm-3m (No. 225)
Symmetry-distinct sites (fractional):
K 0.2500 0.2500 0.2500  12 F 3.02
Li 0.0000 0.0000 0.0000  6 F 2.03
Bi 0.0000 0.0000 0.5000  6 F 2.24
F 0.0000 0.0000 0.2377  1 Li 2.03, 1 Bi 2.24



# 4
A crystal of K2NaBiF6 relaxed with PBEsol. Source: the Alexandria database, functional SCAN.

- ΔE_f (raw): -2715 meV/atom
- DOS at the Fermi energy: 0.00 states/eV/f.u.
- Density: 4.0 g/cm³

a = 8.9172 Å, b = 8.9172 Å, c = 8.9172 Å
α = 90.00°, β = 90.00°, γ = 90.00°
Last column: nearest neighbours and their distance in Å.
Space group Fm-3m (No. 225)
Symmetry-distinct sites (fractional):
K 0.2500 0.2500 0.2500  12 F 3.15
Na 0.0000 0.0000 0.0000  6 F 2.22
Bi 0.0000 0.0000 0.5000  6 F 2.24
F 0.0000 0.0000 0.2490  1 Na 2.22, 1 Bi 2.24



# 5
A crystal of La2BiF relaxed with PBEsol. Source: the Alexandria database, functional SCAN.

- ΔE_f (raw): -1915 meV/atom
- DOS at the Fermi energy: 1.01 states/eV/f.u.
- Density: 7.6 g/cm³

a = 7.6700 Å, b = 7.6700 Å, c = 7.4766 Å
α = 90.00°, β = 90.00°, γ = 90.00°
Last column: nearest neighbours and their distance in Å.
Space group I-42d (No. 122)
Symmetry-distinct sites (fractional):
La 0.1652 0.7500 0.1250  2 F 2.48
Bi 0.0000 0.0000 0.5000  8 La 3.34-3.63, 2 F 3.74
F 0.0000 0.0000 0.0000  4 La 2.48



# 6
A crystal of La2BiF2 relaxed with PBEsol. Source: the Alexandria database, functional SCAN.

- ΔE_f (raw): -2832 meV/atom
- DOS at the Fermi energy: 1.17 states/eV/f.u.
- Density: 7.9 g/cm³

a = 4.1005 Å, b = 4.1005 Å, c = 13.1361 Å
α = 90.00°, β = 90.00°, γ = 90.00°
Last column: nearest neighbours and their distance in Å.
Space group I4/mmm (No. 139)
Symmetry-distinct sites (fractional):
La 0.0000 0.0000 0.1350  4 F 2.55
Bi 0.0000 0.0000 0.5000  8 La 3.40
F 0.0000 0.5000 0.2500  4 La 2.55



# 7
A crystal of LaBiF3 relaxed with PBEsol. Source: the Alexandria database, functional SCAN.

- ΔE_f (raw): -2795 meV/atom
- DOS at the Fermi energy: 0.46 states/eV/f.u.
- Density: 6.3 g/cm³

a = 4.7358 Å, b = 4.7358 Å, c = 4.7358 Å
α = 90.00°, β = 90.00°, γ = 90.00°
Last column: nearest neighbours and their distance in Å.
Space group Pm-3m (No. 221)
Symmetry-distinct sites (fractional):
La 0.0000 0.0000 0.0000  6 F 2.37
Bi 0.5000 0.5000 0.5000  12 F 3.35
F 0.0000 0.0000 0.5000  2 La 2.37



# 8
A crystal of La2BiF relaxed with PBEsol. Source: the Alexandria database, functional SCAN.

- ΔE_f (raw): -1590 meV/atom
- DOS at the Fermi energy: 2.02 states/eV/f.u.
- Density: 8.0 g/cm³

a = 7.4917 Å, b = 7.4917 Å, c = 7.4917 Å
α = 90.00°, β = 90.00°, γ = 90.00°
Last column: nearest neighbours and their distance in Å.
Space group Fm-3m (No. 225)
Symmetry-distinct sites (fractional):
La 0.2500 0.2500 0.2500  4 F 3.24, 4 Bi 3.24
Bi 0.0000 0.0000 0.0000  8 La 3.24
F 0.0000 0.0000 0.5000  8 La 3.24